[1]
Ca4AcZn2: optimized geometry, GGA-PBE.

abc: 6.7797 8.7464 8.5717
angles: 111.68 90.00 90.00
Element x y z (fractional)
Zn: 0.2500 0.2503 0.9819
Zn: 0.7500 0.3738 0.4096
Zn: 0.2500 0.6262 0.5904
Zn: 0.7500 0.7497 0.0181
Ca: 0.2500 0.9807 0.6054
Ca: 0.7500 0.7341 0.6488
Ca: 0.5009 0.4194 0.7690
Ca: 0.9991 0.4194 0.7690
Ca: 0.0009 0.5806 0.2310
Ca: 0.4991 0.5806 0.2310
Ca: 0.7500 0.0193 0.3946
Ca: 0.2500 0.2659 0.3512
Ac: 0.2500 0.8620 0.9973
Ac: 0.7500 0.1380 0.0027

Energy = -30.5 eV/cell
Density = 3.64 g/cm3
Space-group type = No. 11
E_form = -81 meV/atom
M_tot = 0.00 μB/f.u.


[2]
Tl4CrOs: optimized geometry, GGA-PBE.

abc: 6.0065 6.0065 6.0065
angles: 60.00 60.00 60.00
Element x y z (fractional)
Tl: 0.8759 0.3747 0.3747
Tl: 0.3747 0.3747 0.3747
Tl: 0.3747 0.8759 0.3747
Tl: 0.3747 0.3747 0.8759
Cr: 0.7500 0.7500 0.7500
Os: 0.0000 0.0000 0.0000

Energy = -22.2 eV/cell
Density = 11.48 g/cm3
Space-group type = No. 216
E_form = 1350 meV/atom
M_tot = 6.17 μB/f.u.